one | Entry from Alexandria via LeMat-Bulk: a relaxed structure of Be2CuPt (PBE-GGA).

M_tot ... 0.000 μB/atom

a b c (Å): 2.6960 2.6960 22.2028
angles (deg): 90.00 90.00 120.00
Last column: nearest neighbours and their distance in Å.
Space group R-3m (No. 166, hexagonal axes)
Asymmetric unit:
Be: 0.0000 0.0000 0.2495 x6  3 Cu 2.41, 3 Pt 2.43, 6 Be 2.70
Cu: 0.0000 0.0000 0.5000 x3  6 Be 2.41, 6 Cu 2.70
Pt: 0.0000 0.0000 0.0000 x3  6 Be 2.43, 6 Pt 2.70

two | Entry from Alexandria via LeMat-Bulk: a relaxed structure of Be2CuPt (PBE-GGA).

M_tot ... 0.000 μB/atom

a b c (Å): 5.5710 5.5710 5.5710
angles (deg): 90.00 90.00 90.00
Last column: nearest neighbours and their distance in Å.
Space group Fm-3m (No. 225)
Asymmetric unit:
Be: 0.2500 0.2500 0.2500 x8  4 Cu 2.41, 4 Pt 2.41
Cu: 0.0000 0.0000 0.0000 x4  8 Be 2.41
Pt: 0.0000 0.0000 0.5000 x4  8 Be 2.41

three | Entry from Alexandria via LeMat-Bulk: a relaxed structure of Be2CuPt (PBE-GGA).

M_tot ... 0.000 μB/atom

a b c (Å): 3.6834 3.6834 12.6642
angles (deg): 90.00 90.00 120.00
Last column: nearest neighbours and their distance in Å.
Space group R3m (No. 160, hexagonal axes)
Asymmetric unit:
Be: 0.0000 0.0000 0.0000 x3  3 Pt 2.22, 3 Cu 2.37, 1 Be 2.43
Be: 0.0000 0.0000 0.1921 x3  3 Pt 2.42, 1 Be 2.43, 3 Cu 2.54
Cu: 0.0000 0.0000 0.4163 x3  6 Be 2.37-2.54, 1 Pt 2.54
Pt: 0.0000 0.0000 0.6172 x3  6 Be 2.22-2.42

four | Entry from Alexandria via LeMat-Bulk: a relaxed structure of Be2CuPt (PBE-GGA).

M_tot ... 0.000 μB/atom

a b c (Å): 5.6770 5.6770 5.6770
angles (deg): 90.00 90.00 90.00
Last column: nearest neighbours and their distance in Å.
Space group F-43m (No. 216)
Asymmetric unit:
Be: 0.0000 0.0000 0.0000 x4  4 Be 2.46, 4 Pt 2.46
Be: 0.2500 0.2500 0.2500 x4  4 Be 2.46, 4 Cu 2.46
Cu: 0.0000 0.0000 0.5000 x4  4 Be 2.46, 4 Pt 2.46
Pt: 0.2500 0.2500 0.7500 x4  4 Be 2.46, 4 Cu 2.46

Which is the most stable structure? two is the most stable.

one | Entry from Alexandria via LeMat-Bulk: a relaxed structure of Be2CuPt (PBE-GGA).

M_tot ... 0.000 μB/atom

a b c (Å): 3.9882 3.9882 2.7295
angles (deg): 90.00 90.00 90.00
Last column: nearest neighbours and their distance in Å.
Space group P4/mmm (No. 123)
Asymmetric unit:
Be: 0.0000 0.5000 0.0000 x2  4 Pt 2.42, 4 Cu 2.42
Cu: 0.0000 0.0000 0.5000 x1  8 Be 2.42
Pt: 0.5000 0.5000 0.5000 x1  8 Be 2.42

two | Entry from Alexandria via LeMat-Bulk: a relaxed structure of Be2CuPt (PBE-GGA).

M_tot ... 0.000 μB/atom

a b c (Å): 6.1049 6.1049 5.0822
angles (deg): 90.00 90.00 90.00
Last column: nearest neighbours and their distance in Å.
Space group I-42d (No. 122)
Asymmetric unit:
Be: 0.2445 0.2500 0.1250 x8  2 Cu 2.23, 2 Pt 2.27
Cu: 0.0000 0.0000 0.0000 x4  4 Be 2.23
Pt: 0.0000 0.0000 0.5000 x4  4 Be 2.27, 2 Cu 2.54

Which is the most stable structure? one is the most stable.

one | Entry from Alexandria via LeMat-Bulk: a relaxed structure of Be2CuPt (PBE-GGA).

M_tot ... 0.000 μB/atom

a b c (Å): 2.8199 2.8199 5.5190
angles (deg): 90.00 90.00 90.00
Last column: nearest neighbours and their distance in Å.
Space group P4mm (No. 99)
Asymmetric unit:
Be: 0.0000 0.0000 0.0000 x1  4 Be 2.33, 4 Pt 2.34, 1 Cu 2.38
Be: 0.5000 0.5000 0.2198 x1  4 Cu 2.31, 4 Be 2.33, 1 Pt 2.44
Cu: 0.0000 0.0000 0.4317 x1  5 Be 2.31-2.38
Pt: 0.5000 0.5000 0.7774 x1  5 Be 2.34-2.44

two | Entry from Alexandria via LeMat-Bulk: a relaxed structure of Be2CuPt (PBE-GGA).

M_tot ... 0.000 μB/atom

a b c (Å): 3.7031 2.7010 8.7226
angles (deg): 90.00 90.00 90.00
Last column: nearest neighbours and their distance in Å.
Space group Amm2 (No. 38)
Asymmetric unit:
Be: 0.0000 0.0000 0.0000 x2  2 Be 2.26, 3 Cu 2.39, 4 Pt 2.40
Be: 0.5000 0.0000 0.1482 x2  2 Be 2.26, 3 Pt 2.35-2.42, 4 Cu 2.39
Cu: 0.0000 0.0000 0.7265 x2  7 Be 2.39
Pt: 0.5000 0.0000 0.4178 x2  7 Be 2.35-2.42

Which is the most stable structure? two is the most stable.

one | Entry from Alexandria via LeMat-Bulk: a relaxed structure of BeCuPt (PBE-GGA).

M_tot ... 0.000 μB/atom

a b c (Å): 4.4772 2.7282 6.0903
angles (deg): 90.00 90.00 90.00
Last column: nearest neighbours and their distance in Å.
Space group Pmma (No. 51)
Asymmetric unit:
Be: 0.2500 0.0000 0.1431 x2  2 Pt 2.34, 2 Cu 2.44
Cu: 0.0000 0.0000 0.5000 x2  2 Cu 2.24, 2 Be 2.44
Pt: 0.2500 0.5000 0.8308 x2  2 Be 2.34

two | Entry from Alexandria via LeMat-Bulk: a relaxed structure of BeCuPt (PBE-GGA).

M_tot ... 0.000 μB/atom

a b c (Å): 3.9037 3.9037 2.7321
angles (deg): 90.00 90.00 120.00
Last column: nearest neighbours and their distance in Å.
Space group P3m1 (No. 156)
Asymmetric unit:
Be: 0.0000 0.0000 0.0000 x1  3 Cu 2.27, 3 Pt 2.52
Cu: 0.6667 0.3333 0.0973 x1  3 Be 2.27
Pt: 0.3333 0.6667 0.5908 x1  6 Be 2.52-2.77, 6 Cu 2.63-2.64, 2 Pt 2.73

Which is the most stable structure? two is the most stable.